No. 1
Material: Ba2Tl3PbAu4
Method: DFT, PBE
State: relaxed

Unit cell a=5.209 b=5.209 c=10.816 alpha=90.00 beta=90.00 gamma=90.00
Space group P-4m2 (No. 115)
Inequivalent atoms, fractional coordinates:
Ba 0.000 0.500 0.236 x2
Tl 0.000 0.500 0.885 x2
Tl 0.500 0.500 0.500 x1
Pb 0.000 0.000 0.500 x1
Au 0.000 0.000 0.000 x1
Au 0.000 0.500 0.627 x2
Au 0.500 0.500 0.000 x1

Formation enthalpy at 0 K = -0.39 eV/atom
Electronic total energy = -3.1708 eV per atom
N(E_F) = 0.55 states/eV per atom


No. 2
Material: NaPtO
Method: DFT, PBE
State: relaxed

Unit cell a=2.834 b=15.515 c=3.991 alpha=90.00 beta=90.00 gamma=90.00
Space group Cmcm (No. 63)
Inequivalent atoms, fractional coordinates:
Na 0.000 0.186 0.250 x4
Pt 0.000 0.060 0.750 x4
O 0.000 0.339 0.250 x4

Electronic total energy = -4.5355 eV per atom
N(E_F) = 0.68 states/eV per atom


No. 3
Material: Er3Os
Method: DFT, PBE
State: relaxed

Unit cell a=3.526 b=5.157 c=10.957 alpha=90.00 beta=90.00 gamma=90.00
Space group Immm (No. 71)
Inequivalent atoms, fractional coordinates:
Er 0.000 0.000 0.000 x2
Er 0.000 0.500 0.198 x4
Os 0.000 0.000 0.500 x2

Formation enthalpy at 0 K = -0.17 eV/atom
Electronic total energy = -6.3991 eV per atom
N(E_F) = 0.86 states/eV per atom